[1]
A plane-wave DFT calculation with GGA-PBE was carried out for a relaxed Sc2Nb2N3 crystal. Values from VASP.

The structure in Quantum ESPRESSO input format:
```
&SYSTEM
  ibrav = 0, nat = 7, ntyp = 3
/
ATOMIC_SPECIES
Nb 92.91 Nb.upf
N 14.01 N.upf
Sc 44.96 Sc.upf
ATOMIC_POSITIONS crystal
Nb 0.136 0.273 0.361
Nb 0.864 0.727 0.639
N 0.248 0.496 0.756
N 0.000 0.000 0.000
N 0.752 0.504 0.244
Sc 0.376 0.753 0.130
Sc 0.624 0.247 0.870
CELL_PARAMETERS angstrom
-3.044 0.695 -0.589
1.603 -3.543 -3.898
-1.540 -3.287 4.082
```

For the uncorrected formation energy, the calculation gives -1.36 eV per atom. The crystal system is monoclinic.



[2]
A plane-wave DFT calculation with GGA-PBE was carried out for a relaxed HoAl3AgPd crystal. Values from VASP.

The structure in Quantum ESPRESSO input format:
```
&SYSTEM
  ibrav = 0, nat = 12, ntyp = 4
/
ATOMIC_SPECIES
Al 26.98 Al.upf
Ag 107.87 Ag.upf
Pd 106.42 Pd.upf
Ho 164.93 Ho.upf
ATOMIC_POSITIONS crystal
Al 0.000 0.283 0.000
Al 0.500 0.717 0.000
Al 0.250 0.133 0.265
Al 0.500 0.283 0.000
Al 0.000 0.717 0.000
Al 0.750 0.867 0.735
Ag 0.750 0.659 0.319
Ag 0.250 0.341 0.681
Pd 0.250 0.909 0.819
Pd 0.750 0.091 0.181
Ho 0.750 0.299 0.597
Ho 0.250 0.701 0.403
CELL_PARAMETERS angstrom
5.891 0.000 0.000
0.000 5.961 0.000
0.000 -2.981 6.499
```

The crystal system is orthorhombic. For the formation energy from the elements, the calculation gives -409 meV/atom.



[3]
A plane-wave DFT calculation with GGA-PBE was carried out for a relaxed Pm2PuWN5 crystal. Values from VASP.

The structure in Quantum ESPRESSO input format:
```
&SYSTEM
  ibrav = 0, nat = 18, ntyp = 4
/
ATOMIC_SPECIES
Pu 244.00 Pu.upf
N 14.01 N.upf
Pm 145.00 Pm.upf
W 183.84 W.upf
ATOMIC_POSITIONS crystal
Pu 0.789 0.577 0.512
Pu 0.211 0.423 0.012
N 0.957 0.915 0.539
N 0.512 0.024 0.283
N 0.043 0.085 0.039
N 0.488 0.976 0.783
N 0.621 0.242 0.505
N 0.326 0.652 0.383
N 0.280 0.559 0.657
N 0.720 0.441 0.157
N 0.674 0.348 0.883
N 0.379 0.758 0.005
Pm 0.893 0.786 0.190
Pm 0.107 0.214 0.690
Pm 0.148 0.296 0.299
Pm 0.852 0.704 0.799
W 0.481 0.962 0.456
W 0.519 0.038 0.956
CELL_PARAMETERS angstrom
-3.472 0.281 -0.276
2.200 -1.132 -6.711
-0.958 -10.423 1.445
```

For the uncorrected formation energy, the calculation gives -1.08 eV per atom. The crystal system is orthorhombic.



[4]
A plane-wave DFT calculation with GGA-PBE was carried out for a relaxed KH2Cl crystal. Values from VASP.

The structure in Quantum ESPRESSO input format:
```
&SYSTEM
  ibrav = 0, nat = 4, ntyp = 3
/
ATOMIC_SPECIES
K 39.10 K.upf
Cl 35.45 Cl.upf
H 1.01 H.upf
ATOMIC_POSITIONS crystal
K 0.500 0.500 0.500
Cl 0.000 0.000 0.000
H 0.250 0.250 0.250
H 0.750 0.750 0.750
CELL_PARAMETERS angstrom
0.000 3.327 3.327
3.327 0.000 3.327
3.327 3.327 0.000
```

The crystal system is cubic. For the distance to the lowest polymorph of the same formula, the calculation gives 1143.5 meV per atom.



[5]
A plane-wave DFT calculation with GGA-PBE was carried out for a relaxed ScMn2WAu crystal. Values from VASP.

The structure in Quantum ESPRESSO input format:
```
&SYSTEM
  ibrav = 0, nat = 5, ntyp = 4
/
ATOMIC_SPECIES
Mn 54.94 Mn.upf
W 183.84 W.upf
Sc 44.96 Sc.upf
Au 196.97 Au.upf
ATOMIC_POSITIONS crystal
Mn 0.000 0.000 0.500
Mn 0.500 0.000 0.000
W 0.000 0.000 0.000
Sc 0.000 0.500 0.000
Au 0.500 0.500 0.500
CELL_PARAMETERS angstrom
4.581 0.000 0.000
0.000 5.112 0.000
0.000 0.000 4.581
```

The crystal system is tetragonal. For the formation energy from the elements, the calculation gives 1039 meV/atom.



[6]
A plane-wave DFT calculation with GGA-PBE was carried out for a relaxed Pu2USiC4 crystal. Values from VASP.

The structure in Quantum ESPRESSO input format:
```
&SYSTEM
  ibrav = 0, nat = 16, ntyp = 4
/
ATOMIC_SPECIES
C 12.01 C.upf
U 238.03 U.upf
Si 28.09 Si.upf
Pu 244.00 Pu.upf
ATOMIC_POSITIONS crystal
C 0.438 0.875 0.750
C 0.273 0.546 0.369
C 0.727 0.454 0.869
C 0.000 0.000 0.000
C 0.562 0.125 0.250
C 0.000 0.000 0.500
C 0.273 0.546 0.131
C 0.727 0.454 0.631
U 0.104 0.208 0.750
U 0.896 0.792 0.250
Si 0.838 0.676 0.750
Si 0.162 0.324 0.250
Pu 0.368 0.736 0.950
Pu 0.632 0.264 0.450
Pu 0.368 0.736 0.550
Pu 0.632 0.264 0.050
CELL_PARAMETERS angstrom
3.414 0.000 0.000
-1.707 5.603 0.000
0.000 0.000 11.735
```

For the uncorrected formation energy, the calculation gives 0.06 eV per atom. The crystal system is orthorhombic.



[7]
A plane-wave DFT calculation with GGA-PBE was carried out for a relaxed YBeP2S crystal. Values from VASP.

The structure in Quantum ESPRESSO input format:
```
&SYSTEM
  ibrav = 0, nat = 5, ntyp = 4
/
ATOMIC_SPECIES
P 30.97 P.upf
Be 9.01 Be.upf
Y 88.91 Y.upf
S 32.06 S.upf
ATOMIC_POSITIONS crystal
P 0.000 0.500 0.000
P 0.500 0.000 0.000
Be 0.000 0.000 0.000
Y 0.500 0.500 0.500
S 0.000 0.000 0.500
CELL_PARAMETERS angstrom
4.079 0.000 0.000
0.000 4.079 0.000
0.000 0.000 5.413
```

For the uncorrected formation energy, the calculation gives -0.35 eV per atom. The crystal system is tetragonal. For the distance to the lowest polymorph of the same formula, the calculation gives 0.0 meV per atom.



[8]
A plane-wave DFT calculation with GGA-PBE was carried out for a relaxed PrYSc2 crystal. Values from VASP.

The structure in Quantum ESPRESSO input format:
```
&SYSTEM
  ibrav = 0, nat = 4, ntyp = 3
/
ATOMIC_SPECIES
Sc 44.96 Sc.upf
Pr 140.91 Pr.upf
Y 88.91 Y.upf
ATOMIC_POSITIONS crystal
Sc 0.750 0.750 0.750
Sc 0.250 0.250 0.250
Pr 0.000 0.000 0.000
Y 0.500 0.500 0.500
CELL_PARAMETERS angstrom
5.483 0.000 0.000
2.741 4.748 0.000
2.741 1.583 4.477
```

The crystal system is cubic. For the distance to the lowest polymorph of the same formula, the calculation gives 22.2 meV per atom. For the formation energy from the elements, the calculation gives 80 meV/atom.



[9]
A plane-wave DFT calculation with GGA-PBE was carried out for a relaxed ScVIr3 crystal. Values from VASP.

The structure in Quantum ESPRESSO input format:
```
&SYSTEM
  ibrav = 0, nat = 5, ntyp = 3
/
ATOMIC_SPECIES
Ir 192.22 Ir.upf
V 50.94 V.upf
Sc 44.96 Sc.upf
ATOMIC_POSITIONS crystal
Ir 0.000 0.500 0.000
Ir 0.000 0.000 0.500
Ir 0.500 0.000 0.000
V 0.000 0.000 0.000
Sc 0.500 0.500 0.500
CELL_PARAMETERS angstrom
4.537 0.000 0.000
0.000 4.537 0.000
0.000 0.000 4.537
```

The crystal system is cubic. For the distance to the lowest polymorph of the same formula, the calculation gives 0.0 meV per atom. For the formation energy from the elements, the calculation gives 402 meV/atom.



[10]
A plane-wave DFT calculation with GGA-PBE was carried out for a relaxed Ce2MgNbN5 crystal. Values from VASP.

The structure in Quantum ESPRESSO input format:
```
&SYSTEM
  ibrav = 0, nat = 18, ntyp = 4
/
ATOMIC_SPECIES
Ce 140.12 Ce.upf
Mg 24.30 Mg.upf
N 14.01 N.upf
Nb 92.91 Nb.upf
ATOMIC_POSITIONS crystal
Ce 0.878 0.757 0.201
Ce 0.122 0.244 0.701
Ce 0.146 0.291 0.280
Ce 0.854 0.709 0.780
Mg 0.780 0.559 0.498
Mg 0.220 0.441 0.998
N 0.716 0.432 0.162
N 0.621 0.242 0.516
N 0.284 0.568 0.662
N 0.939 0.879 0.552
N 0.691 0.382 0.858
N 0.309 0.618 0.358
N 0.061 0.121 0.052
N 0.379 0.758 0.016
N 0.494 0.987 0.783
N 0.506 0.013 0.283
Nb 0.477 0.954 0.474
Nb 0.523 0.046 0.974
CELL_PARAMETERS angstrom
-2.978 0.566 -1.735
2.049 -6.328 -2.065
-5.203 -4.156 7.574
```

For the uncorrected formation energy, the calculation gives -1.14 eV per atom. The crystal system is orthorhombic.



[11]
A plane-wave DFT calculation with GGA-PBE was carried out for a relaxed TbY2InN4 crystal. Values from VASP.

The structure in Quantum ESPRESSO input format:
```
&SYSTEM
  ibrav = 0, nat = 8, ntyp = 4
/
ATOMIC_SPECIES
N 14.01 N.upf
In 114.82 In.upf
Y 88.91 Y.upf
Tb 158.93 Tb.upf
ATOMIC_POSITIONS crystal
N 0.000 0.744 0.257
N 0.500 0.752 0.751
N 0.000 0.256 0.743
N 0.500 0.248 0.249
In 0.000 0.000 0.000
Y 0.000 0.500 0.500
Y 0.500 0.000 0.500
Tb 0.500 0.500 0.000
CELL_PARAMETERS angstrom
-1.540 1.009 -2.931
4.328 -2.642 -3.183
-4.487 -3.846 1.033
```

For the uncorrected formation energy, the calculation gives -1.17 eV per atom. The crystal system is monoclinic.



[12]
A plane-wave DFT calculation with GGA-PBE was carried out for a relaxed TbHfSc2As4 crystal. Values from VASP.

The structure in Quantum ESPRESSO input format:
```
&SYSTEM
  ibrav = 0, nat = 8, ntyp = 4
/
ATOMIC_SPECIES
As 74.92 As.upf
Sc 44.96 Sc.upf
Tb 158.93 Tb.upf
Hf 178.49 Hf.upf
ATOMIC_POSITIONS crystal
As 0.500 0.758 0.747
As 0.500 0.242 0.253
As 0.000 0.237 0.740
As 0.000 0.763 0.260
Sc 0.000 0.500 0.500
Sc 0.500 0.000 0.500
Tb 0.500 0.500 0.000
Hf 0.000 0.000 0.000
CELL_PARAMETERS angstrom
-0.299 3.918 0.019
-2.273 -0.204 6.416
6.757 0.516 0.029
```

The crystal system is monoclinic. For the formation energy from the elements, the calculation gives -1321 meV/atom.